No. 1
{
  "formula": "SrLa2AlO",
  "functional": "PBE",
  "state": "relaxed",
  "cell": [[-0.949, 1.071, 4.853], [2.609, -4.097, 1.415], [4.274, 2.798, 0.219]],
  "species": ["Al", "Sr", "La", "La", "O"],
  "fractional_positions": [[0.500, 0.500, 0.500], [0.000, 0.000, 0.500], [0.500, 0.000, 0.000], [0.000, 0.500, 0.000], [0.000, 0.000, 0.000]],
  "sg": "P4/mmm, No. 123",
  "magnetic_moment_mub_per_atom": 0.000,
  "raw_formation_energy_ev_per_atom": -1.246
}

No. 2
{
  "formula": "SrLa2Al2O7",
  "functional": "PBE",
  "state": "relaxed",
  "cell": [[10.697, 0.011, 0.000], [9.358, 5.181, 0.000], [-10.027, -2.596, 2.670]],
  "species": ["O", "O", "O", "O", "O", "O", "O", "Al", "Al", "La", "La", "Sr"],
  "fractional_positions": [[0.100, 0.600, 0.500], [0.400, 0.900, 0.500], [0.798, 0.798, 0.000], [0.202, 0.202, 0.000], [0.600, 0.100, 0.500], [0.000, 0.000, 0.000], [0.900, 0.400, 0.500], [0.090, 0.090, 0.000], [0.910, 0.910, 0.000], [0.681, 0.681, 0.000], [0.319, 0.319, 0.000], [0.500, 0.500, 0.000]],
  "sg": "I4/mmm, No. 139",
  "magnetic_moment_mub_per_atom": 0.000,
  "raw_formation_energy_ev_per_atom": -3.216
}

No. 3
{
  "formula": "Sr3LaTaAl3O12",
  "functional": "PBE",
  "state": "relaxed",
  "cell": [[-2.295, -1.105, -7.323], [2.827, -7.216, 0.232], [-3.464, -1.316, 1.285]],
  "species": ["O", "O", "O", "O", "O", "O", "O", "O", "O", "O", "O", "O", "Sr", "Sr", "Sr", "Al", "Al", "Al", "Ta", "La"],
  "fractional_positions": [[0.498, 0.250, 0.500], [0.251, 0.508, 0.500], [0.253, 0.995, 0.500], [0.494, 0.992, 0.000], [0.495, 0.505, 0.000], [0.002, 0.255, 0.500], [0.005, 0.747, 0.500], [0.003, 0.997, 0.000], [0.745, 0.998, 0.500], [0.008, 0.506, 0.000], [0.492, 0.749, 0.500], [0.750, 0.502, 0.500], [0.740, 0.738, 0.000], [0.262, 0.260, 0.000], [0.736, 0.264, 0.000], [0.502, 0.498, 0.500], [0.999, 0.501, 0.500], [0.499, 0.001, 0.500], [0.997, 0.003, 0.500], [0.265, 0.735, 0.000]],
  "sg": "Amm2, No. 38",
  "magnetic_moment_mub_per_atom": 0.029,
  "relative_energy_mev_per_atom": 13,
  "raw_formation_energy_ev_per_atom": -2.988
}

No. 4
{
  "formula": "Sr3LaTaAl3O12",
  "functional": "PBE",
  "state": "relaxed",
  "cell": [[-5.131, -4.268, -3.955], [4.232, 0.933, -6.434], [4.034, -6.443, 1.720]],
  "species": ["Al", "Al", "Al", "Al", "Al", "Al", "O", "O", "O", "O", "O", "O", "O", "O", "O", "O", "O", "O", "O", "O", "O", "O", "O", "O", "O", "O", "O", "O", "O", "O", "Sr", "Sr", "Sr", "Sr", "Sr", "Sr", "Ta", "Ta", "La", "La"],
  "fractional_positions": [[0.751, 0.751, 0.500], [0.248, 0.752, 0.500], [0.749, 0.749, 0.000], [0.752, 0.248, 0.500], [0.251, 0.251, 0.000], [0.249, 0.249, 0.500], [0.994, 0.749, 0.000], [0.251, 0.006, 0.000], [0.253, 0.747, 0.745], [0.748, 0.000, 0.500], [0.747, 0.253, 0.745], [0.253, 0.747, 0.255], [0.496, 0.256, 0.000], [0.749, 0.994, 0.000], [0.252, 0.000, 0.500], [0.499, 0.742, 0.500], [0.257, 0.257, 0.749], [0.257, 0.257, 0.251], [0.000, 0.748, 0.500], [0.256, 0.496, 0.000], [0.501, 0.258, 0.500], [0.504, 0.744, 0.000], [0.743, 0.743, 0.251], [0.000, 0.252, 0.500], [0.006, 0.251, 0.000], [0.743, 0.743, 0.749], [0.744, 0.504, 0.000], [0.742, 0.499, 0.500], [0.258, 0.501, 0.500], [0.747, 0.253, 0.255], [0.000, 0.000, 0.265], [0.000, 0.000, 0.735], [0.000, 0.500, 0.263], [0.500, 0.000, 0.737], [0.500, 0.000, 0.263], [0.000, 0.500, 0.737], [0.753, 0.247, 0.000], [0.247, 0.753, 0.000], [0.500, 0.500, 0.263], [0.500, 0.500, 0.737]],
  "sg": "Cmmm, No. 65",
  "magnetic_moment_mub_per_atom": 0.028,
  "relative_energy_mev_per_atom": 0,
  "raw_formation_energy_ev_per_atom": -3.000
}

No. 5
{
  "formula": "Sr6La2Ta3Al5O24",
  "functional": "PBE",
  "state": "relaxed",
  "cell": [[5.515, 0.000, 0.000], [2.757, 4.776, 0.000], [2.757, 1.592, 18.059]],
  "species": ["Al", "Al", "Al", "Al", "Al", "O", "O", "O", "O", "O", "O", "O", "O", "O", "O", "O", "O", "O", "O", "O", "O", "O", "O", "O", "O", "O", "O", "O", "O", "La", "La", "Ta", "Ta", "Ta", "Sr", "Sr", "Sr", "Sr", "Sr", "Sr"],
  "fractional_positions": [[0.626, 0.626, 0.121], [0.374, 0.374, 0.879], [0.000, 0.000, 0.000], [0.875, 0.875, 0.374], [0.125, 0.125, 0.626], [0.431, 0.940, 0.688], [0.065, 0.559, 0.817], [0.441, 0.935, 0.183], [0.309, 0.309, 0.564], [0.940, 0.940, 0.688], [0.691, 0.691, 0.436], [0.182, 0.691, 0.436], [0.189, 0.189, 0.941], [0.818, 0.309, 0.564], [0.691, 0.182, 0.436], [0.811, 0.811, 0.059], [0.060, 0.060, 0.312], [0.559, 0.065, 0.817], [0.811, 0.318, 0.059], [0.940, 0.431, 0.688], [0.309, 0.818, 0.564], [0.060, 0.569, 0.312], [0.935, 0.441, 0.183], [0.559, 0.559, 0.817], [0.569, 0.060, 0.312], [0.189, 0.682, 0.941], [0.682, 0.189, 0.941], [0.318, 0.811, 0.059], [0.441, 0.441, 0.183], [0.685, 0.685, 0.944], [0.315, 0.315, 0.056], [0.749, 0.749, 0.752], [0.500, 0.500, 0.500], [0.251, 0.251, 0.248], [0.188, 0.188, 0.437], [0.060, 0.060, 0.820], [0.563, 0.563, 0.311], [0.940, 0.940, 0.180], [0.437, 0.437, 0.689], [0.812, 0.812, 0.563]],
  "sg": "R-3m, No. 166",
  "magnetic_moment_mub_per_atom": 0.000,
  "raw_formation_energy_ev_per_atom": -3.119
}

No. 6
{
  "formula": "La2TaAlO",
  "functional": "PBE",
  "state": "relaxed",
  "cell": [[-3.696, 0.552, 3.471], [-0.438, -4.032, 0.174], [3.471, -0.216, 3.730]],
  "species": ["O", "Ta", "La", "La", "Al"],
  "fractional_positions": [[0.000, 0.000, 0.000], [0.500, 0.500, 0.500], [0.500, 0.000, 0.000], [0.000, 0.000, 0.500], [0.000, 0.500, 0.000]],
  "sg": "P4/mmm, No. 123",
  "magnetic_moment_mub_per_atom": 0.000,
  "raw_formation_energy_ev_per_atom": -0.729
}